(1)
Density functional theory data (PBE-GGA) for an optimized crystal structure of Pu12Ru4Rh3.

```
Pu12Ru4Rh3
1.0
-5.060 5.060 5.060
5.060 -5.060 5.060
5.060 5.060 -5.060
Pu Ru Rh
12 4 3
Cartesian
5.060 -1.849 3.055 Pu
3.211 2.005 0.000 Pu
6.909 2.005 0.000 Pu
3.055 5.060 -1.849 Pu
2.005 0.000 3.211 Pu
5.060 1.849 3.055 Pu
0.000 3.211 2.005 Pu
3.055 5.060 1.849 Pu
2.005 0.000 6.909 Pu
-1.849 3.055 5.060 Pu
1.849 3.055 5.060 Pu
0.000 6.909 2.005 Pu
2.530 2.530 -2.530 Ru
2.530 -2.530 2.530 Ru
-2.530 2.530 2.530 Ru
2.530 2.530 2.530 Ru
5.060 0.000 0.000 Rh
0.000 5.060 0.000 Rh
0.000 0.000 5.060 Rh
```

E_tot   -12.087 eV per atom
ΔH_f (0 K)   0.08 eV per atom


(2)
Density functional theory data (PBE-GGA) for an optimized crystal structure of Pu8Ru5Rh.

```
Pu8Ru5Rh
1.0
-4.216 4.216 4.168
4.216 -4.216 4.168
4.216 4.216 -4.168
Pu Ru Rh
8 5 1
Cartesian
1.542 -0.621 1.583 Pu
3.682 1.491 -0.461 Pu
2.675 4.837 -2.585 Pu
2.726 -0.534 4.629 Pu
1.491 4.751 0.461 Pu
3.596 2.675 2.585 Pu
0.534 2.726 3.707 Pu
0.621 1.542 6.753 Pu
4.216 0.000 2.084 Ru
1.080 2.050 1.116 Ru
-2.166 3.136 3.052 Ru
-1.080 6.383 1.116 Ru
2.166 5.297 3.052 Ru
0.000 0.000 4.168 Rh
```

E_tot   -12.157 eV per atom
ΔH_f (0 K)   -0.13 eV per atom


(3)
Density functional theory data (PBE-GGA) for an optimized crystal structure of Pu7Ru2Rh2.

```
Pu7Ru2Rh2
1.0
4.695 -4.300 0.000
4.695 4.300 0.000
-0.736 0.000 5.562
Pu Ru Rh
7 2 2
Cartesian
0.000 0.000 0.000 Pu
1.915 1.526 4.245 Pu
1.915 -1.526 4.245 Pu
3.975 0.000 4.202 Pu
4.680 0.000 1.359 Pu
6.739 1.526 1.317 Pu
6.739 -1.526 1.317 Pu
4.327 2.932 2.781 Ru
4.327 -2.932 2.781 Ru
1.983 0.000 1.652 Rh
6.672 0.000 3.909 Rh
```

E_tot   -12.180 eV per atom
Energy relative to the lowest polymorph listed for this composition   71 meV/atom
ΔH_f (0 K)   -0.04 eV per atom


(4)
Density functional theory data (PBE-GGA) for an optimized crystal structure of Pu3RuRh.

```
Pu3RuRh
1.0
4.349 -2.982 0.000
4.349 2.982 0.000
-4.090 0.000 8.045
Pu Ru Rh
6 2 2
Cartesian
-0.324 0.000 2.636 Pu
-0.260 0.000 5.511 Pu
2.203 0.000 1.095 Pu
2.404 0.000 6.950 Pu
4.867 0.000 2.534 Pu
4.931 0.000 5.409 Pu
2.304 1.307 4.022 Ru
2.304 -1.307 4.022 Ru
4.349 1.510 0.000 Rh
4.349 -1.510 0.000 Rh
```

E_tot   -12.084 eV per atom
Energy relative to the lowest polymorph listed for this composition   0 meV/atom
ΔH_f (0 K)   -0.16 eV per atom


(5)
Density functional theory data (PBE-GGA) for an optimized crystal structure of Pu12Ru5Rh2.

```
Pu12Ru5Rh2
1.0
6.805 -4.759 0.000
6.805 4.759 0.000
-0.673 0.000 5.200
Pu Ru Rh
12 5 2
Cartesian
2.948 2.061 1.094 Pu
0.587 0.000 1.859 Pu
4.932 2.563 2.358 Pu
8.005 2.563 2.842 Pu
5.405 0.000 0.036 Pu
2.948 -2.061 1.094 Pu
9.990 2.061 4.106 Pu
7.533 0.000 5.164 Pu
4.932 -2.563 2.358 Pu
8.005 -2.563 2.842 Pu
12.351 0.000 3.341 Pu
9.990 -2.061 4.106 Pu
1.633 0.000 4.760 Ru
3.617 0.000 2.866 Ru
6.469 0.000 2.600 Ru
9.320 0.000 2.334 Ru
11.305 0.000 0.440 Ru
6.805 2.753 0.000 Rh
6.805 -2.753 0.000 Rh
```

E_tot   -12.157 eV per atom
ΔH_f (0 K)   0.11 eV per atom


(6)
Density functional theory data (PBE-GGA) for an optimized crystal structure of Pu6Ru5Rh.

```
Pu6Ru5Rh
1.0
2.394 -7.167 0.000
2.394 7.167 0.000
0.000 0.000 6.801
Pu Ru Rh
6 5 1
Cartesian
0.000 0.000 1.695 Pu
0.000 0.000 5.106 Pu
2.394 2.396 1.699 Pu
2.394 2.396 5.102 Pu
2.394 -2.396 1.699 Pu
2.394 -2.396 5.102 Pu
2.394 4.786 0.000 Ru
2.394 4.777 3.401 Ru
2.394 0.000 0.000 Ru
2.394 -4.777 3.401 Ru
2.394 -4.786 0.000 Ru
2.394 0.000 3.401 Rh
```

E_tot   -11.831 eV per atom
ΔH_f (0 K)   -0.19 eV per atom


In μB per atom, the magnetic moment values for the records above are, in order, 3.312 2.734 0.464 1.034 0.377 2.244.
In kg/m³, the mass density values for the records above are, in order, 11665 14344 15647 14898 17942 14741.